Record 1
This record from the Alexandria database describes a geometry-optimized Zr2HgO structure. The functional is PBE.

Geometry as POSCAR:
```
Zr2HgO
1.0
5.637 0.000 0.000
0.000 5.637 0.000
2.819 2.819 5.541
O Hg Zr
2 2 4
Cartesian
2.819 2.819 0.000 O
2.819 5.637 2.770 O
0.000 0.000 0.000 Hg
5.637 2.819 2.770 Hg
3.578 1.409 1.385 Zr
2.059 4.228 1.385 Zr
4.228 4.878 4.156 Zr
7.047 6.397 4.156 Zr
```

Values from the calculation:
energy above the most stable polymorph in this dataset: 1.14 eV per formula unit
M_tot: 0.0 μB/f.u.
SG: I-42d (122)

Record 2
This record from the Alexandria database describes a geometry-optimized ZrHg2O structure. The functional is PBE.

Geometry as POSCAR:
```
ZrHg2O
1.0
-3.912 -1.721 8.908
-6.038 -6.746 -3.955
-3.599 -5.658 2.805
O Hg Zr
2 4 2
Cartesian
-4.975 -4.234 2.476 O
-7.306 -8.319 0.663 O
-3.665 -3.143 4.786 Hg
-5.597 -6.037 0.331 Hg
-7.101 -8.168 3.522 Hg
-10.736 -10.904 6.876 Hg
0.000 0.000 0.000 Zr
-6.243 -5.807 7.094 Zr
```

Values from the calculation:
DFT total energy: -4.151 eV per atom
M_tot: 0.0 μB/f.u.
SG: I-42d (122)

Record 3
This record from the Alexandria database describes a geometry-optimized Zr2HgO structure. The functional is PBE.

Geometry as POSCAR:
```
Zr2HgO
1.0
3.364 0.000 0.000
1.682 2.914 0.000
1.682 0.971 7.221
Zr Hg O
2 1 1
Cartesian
1.682 0.971 5.997 Zr
1.682 0.971 1.229 Zr
3.364 1.942 3.618 Hg
5.047 2.914 7.208 O
```

Values from the calculation:
energy above the most stable polymorph in this dataset: 0.08 eV per formula unit
M_tot: 0.0 μB/f.u.
SG: R3m (160)

Record 4
This record from the Alexandria database describes a geometry-optimized Zr4HgO structure. The functional is PBE.

Geometry as POSCAR:
```
Zr4HgO
1.0
-2.467 -4.979 0.678
6.568 -0.780 2.107
-3.808 4.582 4.718
Zr Hg O
8 2 2
Cartesian
-4.785 -0.788 5.134 Zr
0.120 -1.814 4.648 Zr
0.433 1.319 6.047 Zr
3.178 0.517 4.878 Zr
-2.885 -1.694 2.624 Zr
-0.140 -2.496 1.455 Zr
0.173 0.637 2.854 Zr
5.078 -0.390 2.369 Zr
2.302 -1.281 2.493 Hg
-2.009 0.104 5.009 Hg
2.364 2.343 6.226 O
-2.071 -3.520 1.276 O
```

Values from the calculation:
DFT total energy: -7.324 eV per atom
M_tot: 0.0 μB/f.u.
SG: C2/c (15)

Record 5
This record from the Alexandria database describes a geometry-optimized Zr5Hg3O12 structure. The functional is PBE.

Geometry as POSCAR:
```
Zr5Hg3O12
1.0
-9.643 -1.738 6.673
6.141 -10.110 -0.779
6.778 8.369 4.955
Hg Zr O
12 20 48
Cartesian
-4.082 -4.049 5.332 Hg
-2.985 -8.057 5.874 Hg
5.226 -3.004 5.015 Hg
0.899 1.440 3.429 Hg
-5.975 -0.692 6.980 Hg
1.917 -4.878 3.254 Hg
1.360 1.399 7.594 Hg
9.252 -2.787 3.868 Hg
2.378 -4.919 7.420 Hg
-1.950 -0.475 5.834 Hg
6.261 4.578 4.975 Hg
7.358 0.569 5.517 Hg
2.792 -1.916 1.781 Zr
3.070 -5.055 -0.390 Zr
0.000 0.000 0.000 Zr
-1.234 -2.133 2.927 Zr
-1.432 3.315 5.814 Zr
-1.751 -5.924 2.947 Zr
5.942 -4.662 2.108 Zr
-0.533 4.756 9.243 Zr
-0.852 -4.484 6.376 Zr
2.235 4.361 6.121 Zr
1.041 -7.840 4.728 Zr
1.638 -1.740 5.424 Zr
-4.821 -0.869 3.336 Zr
3.389 4.184 2.477 Zr
4.129 1.005 4.473 Zr
3.810 -8.235 1.606 Zr
6.460 -0.871 2.088 Zr
-2.666 1.182 8.741 Zr
4.510 -1.346 7.922 Zr
0.484 -1.563 9.068 Zr
-5.928 -2.203 4.571 O
2.776 -2.343 3.730 O
-5.037 -3.097 7.836 O
-3.021 -1.910 3.787 O
3.230 -2.297 6.722 O
-4.656 -6.253 7.035 O
4.718 -5.251 3.570 O
5.420 -8.544 0.469 O
4.929 -5.355 6.587 O
-1.855 -5.582 5.045 O
-2.138 -3.077 6.967 O
-2.296 -10.466 4.816 O
6.658 -2.897 2.706 O
-0.753 -4.059 2.716 O
7.405 -5.982 1.794 O
0.687 3.189 5.661 O
1.598 -0.375 1.354 O
0.113 -6.913 3.224 O
-0.171 -8.105 6.290 O
2.188 -3.589 0.875 O
7.784 -3.915 5.861 O
0.796 -3.688 5.582 O
-0.212 -5.589 7.910 O
0.372 3.037 9.700 O
2.480 0.209 5.267 O
3.489 2.109 2.939 O
2.905 -6.516 1.149 O
3.448 4.626 4.558 O
-4.508 0.436 4.988 O
1.089 0.110 9.973 O
3.164 3.434 7.625 O
2.590 -6.669 5.187 O
1.678 -3.104 9.495 O
-4.128 2.503 9.054 O
-3.382 -0.582 8.143 O
5.572 6.986 6.033 O
4.030 0.579 8.133 O
-1.653 1.876 4.262 O
5.131 2.103 5.804 O
5.415 -0.402 3.881 O
-2.144 5.065 10.380 O
-1.442 1.772 7.279 O
6.297 -1.570 7.062 O
7.932 2.774 3.814 O
0.046 -1.182 4.127 O
8.313 -0.383 3.012 O
0.500 -1.137 7.118 O
9.205 -1.276 6.278 O
```

Values from the calculation:
DFT total energy: -7.430 eV per atom
M_tot: 0.0 μB/f.u.
SG: Ia-3d (230)

Record 6
This record from the Alexandria database describes a geometry-optimized Zr6HgO structure. The functional is PBE.

Geometry as POSCAR:
```
Zr6HgO
1.0
5.254 -0.879 -1.649
1.699 5.246 -0.828
0.843 1.641 5.262
Zr Hg O
6 1 1
Cartesian
1.684 3.000 3.627 Zr
6.153 5.196 1.418 Zr
3.903 0.769 -0.822 Zr
1.643 0.812 1.367 Zr
6.112 3.008 -0.842 Zr
3.893 5.239 3.607 Zr
3.898 3.004 1.393 Hg
0.000 0.000 0.000 O
```

Values from the calculation:
DFT total energy: -7.746 eV per atom
M_tot: 0.0 μB/f.u.
SG: R-3 (148)

Record 7
This record from the Alexandria database describes a geometry-optimized Zr2HgO structure. The functional is PBE.

Geometry as POSCAR:
```
Zr2HgO
1.0
3.298 0.000 0.000
1.649 2.856 0.000
1.649 0.952 8.468
O Hg Zr
1 1 2
Cartesian
3.298 1.904 4.234 O
0.000 0.000 0.000 Hg
1.649 0.952 5.507 Zr
4.947 2.856 2.960 Zr
```

Values from the calculation:
energy above the most stable polymorph in this dataset: 1.58 eV per formula unit
M_tot: 0.0 μB/f.u.
SG: R-3m (166)

Record 8
This record from the Alexandria database describes a geometry-optimized Zr6Hg3O structure. The functional is PBE.

Geometry as POSCAR:
```
Zr6Hg3O
1.0
-1.912 2.604 3.126
-6.077 -7.114 2.208
7.101 -2.131 6.119
Zr Hg O
12 6 2
Cartesian
-0.661 -6.212 5.730 Zr
0.510 -4.106 7.924 Zr
3.522 -4.645 6.984 Zr
-3.670 -5.701 6.696 Zr
5.818 -2.122 6.287 Zr
2.522 -1.705 7.155 Zr
-3.022 -5.464 3.663 Zr
-6.318 -5.047 4.531 Zr
3.170 -1.468 4.122 Zr
-4.022 -2.524 3.834 Zr
-1.010 -3.063 2.894 Zr
0.161 -0.957 5.088 Zr
-1.573 -6.508 8.651 Hg
1.765 -6.909 7.795 Hg
1.243 -3.852 4.929 Hg
-1.743 -3.317 5.889 Hg
1.073 -0.661 2.167 Hg
-2.265 -0.260 3.023 Hg
3.884 -2.853 5.713 O
-4.384 -4.316 5.105 O
```

Values from the calculation:
DFT total energy: -6.331 eV per atom
M_tot: 0.5 μB/f.u.
SG: Cmcm (63)

Record 9
This record from the Alexandria database describes a geometry-optimized Zr3HgO structure. The functional is PBE.

Geometry as POSCAR:
```
Zr3HgO
1.0
-0.073 1.342 -3.161
-4.417 -4.135 0.210
-5.943 6.495 2.895
Zr Hg O
6 2 2
Cartesian
-6.561 1.559 -1.056 Zr
-3.872 2.144 1.001 Zr
-1.331 -0.633 -0.237 Zr
-9.101 4.336 0.182 Zr
-5.601 -1.577 -0.542 Zr
-4.832 5.280 0.487 Zr
-3.732 0.575 -1.533 Hg
-6.701 3.128 1.478 Hg
-0.037 0.671 -1.581 O
-3.008 3.919 -0.133 O
```

Values from the calculation:
energy above the most stable polymorph in this dataset: 0.00 eV per formula unit
M_tot: 0.0 μB/f.u.
SG: P2_1/m (11)

Record 10
This record from the Alexandria database describes a geometry-optimized ZrHg3O structure. The functional is PBE.

Geometry as POSCAR:
```
ZrHg3O
1.0
-1.396 4.227 3.463
-3.899 -3.275 2.425
3.828 -1.794 3.733
O Hg Zr
1 3 1
Cartesian
-0.733 -0.421 4.810 O
-1.949 -1.637 1.213 Hg
1.914 -0.897 1.866 Hg
-0.698 2.113 1.731 Hg
0.000 0.000 0.000 Zr
```

Values from the calculation:
energy above the most stable polymorph in this dataset: 2.82 eV per formula unit
M_tot: 0.0 μB/f.u.
SG: Pm-3m (221)

Record 11
This record from the Alexandria database describes a geometry-optimized Zr3HgO structure. The functional is PBE.

Geometry as POSCAR:
```
Zr3HgO
1.0
4.501 0.000 0.000
0.000 4.501 0.000
0.000 0.000 4.501
O Hg Zr
1 1 3
Cartesian
0.000 0.000 0.000 O
2.251 2.251 2.251 Hg
0.000 2.251 0.000 Zr
0.000 0.000 2.251 Zr
2.251 0.000 0.000 Zr
```

Values from the calculation:
energy above the most stable polymorph in this dataset: 0.27 eV per formula unit
M_tot: 0.0 μB/f.u.
SG: Pm-3m (221)

Record 12
This record from the Alexandria database describes a geometry-optimized ZrHg3O structure. The functional is PBE.

Geometry as POSCAR:
```
ZrHg3O
1.0
4.761 0.000 0.000
0.000 4.761 0.000
0.000 0.000 4.761
O Hg Zr
1 3 1
Cartesian
0.000 0.000 0.000 O
0.000 2.381 0.000 Hg
0.000 0.000 2.381 Hg
2.381 0.000 0.000 Hg
2.381 2.381 2.381 Zr
```

Values from the calculation:
energy above the most stable polymorph in this dataset: 0.00 eV per formula unit
M_tot: 2.4 μB/f.u.
SG: Pm-3m (221)

Record 13
This record from the Alexandria database describes a geometry-optimized Zr3HgO structure. The functional is PBE.

Geometry as POSCAR:
```
Zr3HgO
1.0
3.377 0.000 0.000
0.000 7.403 1.937
0.000 0.294 7.647
Zr Hg O
6 2 2
Cartesian
2.915 2.848 6.964 Zr
2.915 0.464 5.204 Zr
2.915 4.609 1.875 Zr
1.227 7.264 2.144 Zr
2.915 5.813 4.582 Zr
1.227 3.159 4.314 Zr
1.227 5.358 7.052 Hg
2.915 1.510 2.260 Hg
1.227 5.211 3.229 O
1.227 1.656 6.084 O
```

Values from the calculation:
energy above the most stable polymorph in this dataset: 0.25 eV per formula unit
M_tot: 0.0 μB/f.u.
SG: Cmmm (65)

Record 14
This record from the Alexandria database describes a geometry-optimized Hg2Os structure. The functional is PBE.

Geometry as POSCAR:
```
Hg2Os
1.0
2.688 -12.012 6.138
-0.764 -11.003 8.219
-2.109 10.523 -8.604
Hg Os
4 2
Cartesian
-0.809 -7.754 4.495 Hg
-1.103 -4.234 2.299 Hg
1.109 -13.268 8.276 Hg
0.815 -9.747 6.080 Hg
0.000 0.000 0.000 Os
0.770 -6.499 2.356 Os
```

Values from the calculation:
energy of formation: 0.8867 eV per atom
M_tot: 1.4 μB/f.u.
SG: I4_1/amd (141)

Record 15
This record from the Alexandria database describes a geometry-optimized Hg2Os structure. The functional is PBE.

Geometry as POSCAR:
```
Hg2Os
1.0
-4.700 1.163 1.914
1.290 -4.964 -0.897
1.722 -0.355 4.445
Hg Os
4 2
Cartesian
-3.001 0.743 1.222 Hg
-1.232 -1.373 0.368 Hg
0.824 -3.170 -0.573 Hg
0.861 -0.178 2.222 Hg
-1.842 -1.057 3.199 Os
0.154 -3.099 2.263 Os
```

Values from the calculation:
energy of formation: 0.8947 eV per atom
M_tot: 0.0 μB/f.u.
SG: P-62m (189)

Record 16
This record from the Alexandria database describes a geometry-optimized Hg4Os5 structure. The functional is PBE.

Geometry as POSCAR:
```
Hg4Os5
1.0
-4.358 4.358 2.098
4.358 -4.358 2.098
4.358 4.358 -2.098
Hg Os
4 5
Cartesian
0.000 5.910 0.000 Hg
0.000 2.806 0.000 Hg
5.910 0.000 0.000 Hg
2.806 0.000 0.000 Hg
0.000 0.000 0.000 Os
1.259 1.259 2.098 Os
1.259 -1.259 2.098 Os
-1.259 1.259 2.098 Os
3.099 3.099 0.000 Os
```

Values from the calculation:
energy of formation: 0.9064 eV per atom
energy above the most stable polymorph in this dataset: 0.00 eV per formula unit
M_tot: 0.0 μB/f.u.
SG: I4/mmm (139)

Record 17
This record from the Alexandria database describes a geometry-optimized HgOs structure. The functional is PBE.

Geometry as POSCAR:
```
HgOs
1.0
4.485 0.000 0.000
-2.243 3.884 0.000
0.000 0.000 4.862
Hg Os
2 2
Cartesian
0.000 2.590 1.215 Hg
2.243 1.295 3.646 Hg
0.000 0.000 0.000 Os
0.000 0.000 2.431 Os
```

Values from the calculation:
energy of formation: 1.2351 eV per atom
energy above the most stable polymorph in this dataset: 1.67 eV per formula unit
M_tot: 0.0 μB/f.u.
SG: P6_3/mmc (194)

Record 18
This record from the Alexandria database describes a geometry-optimized Hg3Os structure. The functional is PBE.

Geometry as POSCAR:
```
Hg3Os
1.0
3.014 -5.221 0.000
3.014 5.221 0.000
0.000 0.000 4.939
Hg Os
6 2
Cartesian
3.014 -3.426 1.235 Hg
3.014 3.426 3.704 Hg
4.474 -0.897 1.235 Hg
1.554 0.897 3.704 Hg
1.554 -0.897 1.235 Hg
4.474 0.897 3.704 Hg
3.014 1.740 1.235 Os
3.014 -1.740 3.704 Os
```

Values from the calculation:
energy of formation: 0.8468 eV per atom
energy above the most stable polymorph in this dataset: 0.98 eV per formula unit
M_tot: 0.0 μB/f.u.
SG: P6_3/mmc (194)

Record 19
This record from the Alexandria database describes a geometry-optimized HgOs structure. The functional is PBE.

Geometry as POSCAR:
```
HgOs
1.0
7.968 0.000 0.000
0.000 14.650 0.000
0.000 0.000 5.208
Hg Os
16 16
Cartesian
2.636 0.000 0.000 Hg
5.332 0.000 0.000 Hg
7.324 10.987 1.302 Hg
4.628 10.987 1.302 Hg
2.636 7.325 2.604 Hg
5.332 7.325 2.604 Hg
7.324 3.662 3.906 Hg
4.628 3.662 3.906 Hg
6.620 0.000 2.604 Hg
1.348 0.000 2.604 Hg
3.340 10.987 3.906 Hg
0.644 10.987 3.906 Hg
6.620 7.325 0.000 Hg
1.348 7.325 0.000 Hg
3.340 3.662 1.302 Hg
0.644 3.662 1.302 Hg
0.000 13.397 0.000 Os
0.000 1.253 0.000 Os
1.992 12.240 1.302 Os
1.992 9.734 1.302 Os
0.000 6.072 2.604 Os
0.000 8.578 2.604 Os
1.992 4.915 3.906 Os
1.992 2.409 3.906 Os
3.984 13.397 2.604 Os
3.984 1.253 2.604 Os
5.976 12.240 3.906 Os
5.976 9.734 3.906 Os
3.984 6.072 0.000 Os
3.984 8.578 0.000 Os
5.976 4.915 1.302 Os
5.976 2.409 1.302 Os
```

Values from the calculation:
energy of formation: 0.9404 eV per atom
energy above the most stable polymorph in this dataset: 1.08 eV per formula unit
M_tot: 0.0 μB/f.u.
SG: Fddd (70)

Record 20
This record from the Alexandria database describes a geometry-optimized Hg2Os structure. The functional is PBE.

Geometry as POSCAR:
```
Hg2Os
1.0
6.468 0.000 0.000
0.000 6.468 0.000
0.000 0.000 6.468
Os Hg
4 8
Cartesian
0.000 0.000 0.000 Os
0.000 3.234 3.234 Os
3.234 0.000 3.234 Os
3.234 3.234 0.000 Os
1.617 4.851 4.851 Hg
1.617 4.851 1.617 Hg
1.617 1.617 4.851 Hg
1.617 1.617 1.617 Hg
4.851 4.851 4.851 Hg
4.851 4.851 1.617 Hg
4.851 1.617 4.851 Hg
4.851 1.617 1.617 Hg
```

Values from the calculation:
energy of formation: 1.1569 eV per atom
M_tot: 1.2 μB/f.u.
SG: Fm-3m (225)